# Li2CrPt4

A relaxed Li2CrPt4 crystal (PBE, the Alexandria database).

```
Li2CrPt4
1.0
4.5848 0.0000 0.0000
0.0000 4.5848 0.0000
2.2924 2.2924 6.3366
Cr Pt Li
1 4 2
Direct
0.0000 0.0000 0.0000
0.8181 0.8181 0.3639
0.1819 0.1819 0.6361
0.0000 0.5000 0.0000
0.5000 0.0000 0.0000
0.6159 0.6159 0.7682
0.3841 0.3841 0.2318
```

=====

# Li2CrPt

A relaxed Li2CrPt crystal (PBE, the Alexandria database).

```
Li2CrPt
1.0
-2.1705 3.6570 -2.4385
-4.4671 1.1552 1.6560
4.3962 -0.6470 2.0704
Cr Li Pt
1 2 1
Direct
0.7500 0.2500 0.5000
0.0000 0.0000 0.0000
0.5000 0.5000 0.0000
0.2500 0.7500 0.5000
```

=====

# Li2CrPt

A relaxed Li2CrPt crystal (PBE, the Alexandria database).

```
Li2CrPt
1.0
4.7252 0.3743 0.0000
-2.1443 4.2272 0.0000
0.0000 0.0000 2.8471
Cr Li Pt
1 2 1
Direct
0.0000 0.5000 0.5000
0.0000 0.0000 0.0000
0.5000 0.5000 0.0000
0.5000 0.0000 0.5000
```

=====

# Li2CrPt

A relaxed Li2CrPt crystal (PBE, the Alexandria database).

```
Li2CrPt
1.0
3.7664 0.0000 0.0000
0.0000 3.7664 0.0000
0.0000 0.0000 4.1446
Cr Li Pt
1 2 1
Direct
0.0000 0.5000 0.5000
0.0000 0.0000 0.0000
0.5000 0.5000 0.0000
0.5000 0.0000 0.5000
```

=====

# Li2CrPt

A relaxed Li2CrPt crystal (PBE, the Alexandria database).

```
Li2CrPt
1.0
-1.6064 -3.5825 1.2715
-2.7708 -0.0492 3.0580
-3.9476 -0.8932 -0.8065
Cr Pt Li
1 1 2
Direct
0.0000 0.0000 0.0000
0.5000 0.5000 0.5000
0.2500 0.2500 0.2500
0.7500 0.7500 0.7500
```

=====

# Li2CrPt

A relaxed Li2CrPt crystal (PBE, the Alexandria database).

```
Li2CrPt
1.0
2.8128 0.0000 0.0000
0.0000 3.9236 0.0000
0.0000 0.0000 5.4648
Cr Li Pt
1 2 1
Direct
0.5000 0.5000 0.7160
0.0000 0.0000 0.0146
0.5000 0.5000 0.2518
0.0000 0.0000 0.5177
```

=====

# Li2CrPt

A relaxed Li2CrPt crystal (PBE, the Alexandria database).

```
Li2CrPt
1.0
4.9389 0.0391 0.6928
4.1032 2.7491 0.6928
1.2591 0.3883 4.5938
Cr Li Pt
1 2 1
Direct
0.2378 0.2378 0.3470
0.0014 0.0014 0.9227
0.7624 0.7624 0.8232
0.4984 0.4984 0.4072
```

=====

# LiCrPt3

A relaxed LiCrPt3 crystal (PBE, the Alexandria database).

```
LiCrPt3
1.0
4.2213 0.0000 0.0000
0.0000 4.2213 0.0000
0.0000 0.0000 4.2213
Cr Pt Li
1 3 1
Direct
0.5000 0.5000 0.5000
0.0000 0.5000 0.0000
0.0000 0.0000 0.5000
0.5000 0.0000 0.0000
0.0000 0.0000 0.0000
```

=====

# LiCr2Pt

A relaxed LiCr2Pt crystal (PBE, the Alexandria database).

```
LiCr2Pt
1.0
-0.8659 0.1339 2.5123
-1.4620 -1.5603 -1.5835
4.8460 -6.5922 2.0215
Cr Li Pt
2 1 1
Direct
0.0000 0.0000 0.0226
0.5000 0.5000 0.2216
0.0000 0.0000 0.5005
0.5000 0.5000 0.7554
```

=====

# Li2CrPt

A relaxed Li2CrPt crystal (PBE, the Alexandria database).

```
Li2CrPt
1.0
4.1598 0.0000 0.0000
2.0799 3.6025 0.0000
2.0799 1.2008 3.3965
Cr Li Pt
1 2 1
Direct
0.5000 0.5000 0.5000
0.0000 0.0000 0.0000
0.2500 0.2500 0.2500
0.7500 0.7500 0.7500
```

=====

# LiCrRe2Pt

A relaxed LiCrRe2Pt crystal (PBE, the Alexandria database).

```
LiCrRe2Pt
1.0
-0.3495 -1.1091 -4.2348
2.9121 -2.9492 0.5320
-3.1300 -2.9067 1.0196
Re Li Pt Cr
2 1 1 1
Direct
0.0000 0.0000 0.5000
0.5000 0.0000 0.0000
0.0000 0.5000 0.0000
0.5000 0.5000 0.5000
0.0000 0.0000 0.0000
```

=====

# LiCrSnPt

A relaxed LiCrSnPt crystal (PBE, the Alexandria database).

```
LiCrSnPt
1.0
4.5020 0.0000 0.0000
2.2510 3.8988 0.0000
2.2510 1.2996 3.6759
Cr Sn Pt Li
1 1 1 1
Direct
0.0000 0.0000 0.0000
0.5000 0.5000 0.5000
0.7500 0.7500 0.7500
0.2500 0.2500 0.2500
```

=====

The following magnetic moment values (in μB/f.u.) correspond, in order, to the records above: 0.36; 3.96; 4.30; 3.99; 0.00; 3.61; 3.66; 3.32; 0.00; 0.15; 0.00; 3.40.
The following formation energy values (in eV/atom) correspond, in order, to the records above: 0.491; -0.124; 0.018; -0.110; 0.333; -0.077; -0.087; 0.365; 0.051; -0.072; 1.330; -0.313.
The following volume values (in Å³/cell) correspond, in order, to the records above: 133.2; 58.3; 59.2; 58.8; 49.7; 60.3; 59.0; 75.2; 54.3; 50.9; 80.6; 64.5.